# 1
First-principles (PBE) data for a relaxed BaY2Sc crystal, as listed in Alexandria via LeMat-Bulk.

a = 5.092 Å, b = 5.092 Å, c = 5.335 Å
α = 90.00°, β = 90.00°, γ = 90.00°
Fractional coordinates of all 4 atoms:
Ba1 0.000 0.000 0.000
Y1 0.000 0.500 0.500
Y2 0.500 0.000 0.500
Sc1 0.500 0.500 0.000

The space group is P4/mmm, No. 123. The density of states at the Fermi level is 2.037 states/eV per atom. The size of the total moment comes out at 0.0 μB per formula unit. The energy above the most stable polymorph in this dataset comes out at 0.158 eV/atom. As for the formation energy from the elements: 0.3106 eV/atom.

***

# 2
First-principles (PBE) data for a relaxed Na3Sc3InSe8 crystal, as listed in Alexandria via LeMat-Bulk.

a = 7.792 Å, b = 7.792 Å, c = 8.432 Å
α = 117.65°, β = 117.65°, γ = 59.82°
Fractional coordinates of all 15 atoms:
Na1 0.000 0.000 0.000
Na2 0.000 0.500 0.000
Na3 0.500 0.000 0.000
Sc1 0.000 0.500 0.500
Sc2 0.500 0.000 0.500
Sc3 0.500 0.500 0.500
In1 0.000 0.000 0.500
Se1 0.245 0.730 0.721
Se2 0.246 0.246 0.721
Se3 0.261 0.261 0.282
Se4 0.270 0.755 0.279
Se5 0.730 0.245 0.721
Se6 0.739 0.739 0.718
Se7 0.754 0.754 0.279
Se8 0.755 0.270 0.279

The space group is C2/m, No. 12. The density of states at the Fermi level is 0.358 states/eV per atom. The size of the total moment comes out at 0.0 μB per formula unit. For the formation energy from raw total energies, the calculation gives -19.5 eV/f.u.

***

# 3
First-principles (PBE) data for a relaxed LiDyGe2 crystal, as listed in Alexandria via LeMat-Bulk.

a = 3.412 Å, b = 3.412 Å, c = 6.525 Å
α = 90.00°, β = 90.00°, γ = 90.00°
Fractional coordinates of all 4 atoms:
Li1 0.000 0.000 0.000
Dy1 0.000 0.000 0.500
Ge1 0.500 0.500 0.205
Ge2 0.500 0.500 0.795

The space group is P4/mmm, No. 123. The density of states at the Fermi level is 0.648 states/eV per atom. The size of the total moment comes out at 0.0 μB per formula unit. The energy above the most stable polymorph in this dataset comes out at 0.191 eV/atom. As for the formation energy from the elements: -0.4287 eV/atom.

***

# 4
First-principles (PBE) data for a relaxed CaErCu2 crystal, as listed in Alexandria via LeMat-Bulk.

a = 4.915 Å, b = 4.915 Å, c = 4.915 Å
α = 60.00°, β = 60.00°, γ = 60.00°
Fractional coordinates of all 4 atoms:
Ca1 0.000 0.000 0.000
Er1 0.500 0.500 0.500
Cu1 0.250 0.250 0.250
Cu2 0.750 0.750 0.750

The space group is Fm-3m, No. 225. The density of states at the Fermi level is 0.929 states/eV per atom. The size of the total moment comes out at 0.0 μB per formula unit. The energy above the most stable polymorph in this dataset comes out at 0.052 eV/atom. As for the formation energy from the elements: -0.1329 eV/atom.

***

# 5
First-principles (PBE) data for a relaxed ScTa2Co crystal, as listed in Alexandria via LeMat-Bulk.

a = 9.187 Å, b = 9.187 Å, c = 9.187 Å
α = 18.75°, β = 18.75°, γ = 18.75°
Fractional coordinates of all 4 atoms:
Sc1 0.000 0.000 0.000
Ta1 0.239 0.239 0.239
Ta2 0.761 0.761 0.761
Co1 0.500 0.500 0.500

The space group is R-3m, No. 166. The density of states at the Fermi level is 1.391 states/eV per atom. The size of the total moment comes out at 0.4 μB per formula unit. The energy above the most stable polymorph in this dataset comes out at 0.272 eV/atom. As for the formation energy from the elements: 0.2199 eV/atom.

***

# 6
First-principles (PBE) data for a relaxed Ac8RuPt4 crystal, as listed in Alexandria via LeMat-Bulk.

a = 8.646 Å, b = 8.646 Å, c = 8.646 Å
α = 61.14°, β = 61.14°, γ = 61.14°
Fractional coordinates of all 13 atoms:
Ac1 0.238 0.755 0.755
Ac2 0.243 0.243 0.243
Ac3 0.245 0.245 0.762
Ac4 0.245 0.762 0.245
Ac5 0.755 0.238 0.755
Ac6 0.755 0.755 0.238
Ac7 0.757 0.757 0.757
Ac8 0.762 0.245 0.245
Ru1 0.000 0.000 0.000
Pt1 0.000 0.000 0.500
Pt2 0.000 0.500 0.000
Pt3 0.500 0.000 0.000
Pt4 0.500 0.500 0.500

The space group is R-3m, No. 166. The density of states at the Fermi level is 0.677 states/eV per atom. The size of the total moment comes out at 0.0 μB per formula unit. As for the formation energy from the elements: -0.7751 eV/atom.